(1)
# Cs2RbGaSb2 PBE optimized geometry
data_Cs2RbGaSb2
_cell_length_a 8.882
_cell_length_b 16.305
_cell_length_c 7.540
_cell_angle_alpha 90.00
_cell_angle_beta 90.00
_cell_angle_gamma 90.00
_symmetry_space_group_name_H-M 'I b a m'
_symmetry_Int_Tables_number 72
_symmetry_space_group_name_Hall '-I 2 2c'
loop_
_atom_site_label
_atom_site_type_symbol
_atom_site_fract_x
_atom_site_fract_y
_atom_site_fract_z
Cs1 Cs 0.205 0.172 0.000
Rb1 Rb 0.000 0.500 0.250
Ga1 Ga 0.000 0.000 0.250
Sb1 Sb 0.177 0.084 0.500
# Crystal system: orthorhombic
# Raw formation energy: -2.51 eV per formula unit
# Final energy: -65.82 eV for the cell shown
# Total magnetic moment: 0.00 μB/f.u.

(2)
# CsRb2GaSb2 PBE optimized geometry
data_CsRb2GaSb2
_cell_length_a 9.440
_cell_length_b 14.985
_cell_length_c 7.585
_cell_angle_alpha 90.00
_cell_angle_beta 90.00
_cell_angle_gamma 90.00
_symmetry_space_group_name_H-M 'I b a m'
_symmetry_Int_Tables_number 72
_symmetry_space_group_name_Hall '-I 2 2c'
loop_
_atom_site_label
_atom_site_type_symbol
_atom_site_fract_x
_atom_site_fract_y
_atom_site_fract_z
Cs1 Cs 0.000 0.000 0.250
Rb1 Rb 0.179 0.323 0.000
Ga1 Ga 0.000 0.500 0.250
Sb1 Sb 0.171 0.413 0.500
# Crystal system: orthorhombic
# Raw formation energy: -2.33 eV per formula unit
# Final energy: -65.56 eV for the cell shown
# Total magnetic moment: 0.00 μB/f.u.
# Density of states at the Fermi level: 0.002 states/eV/atom

(3)
# Cs4Rb2GaSb2 PBE optimized geometry
data_Cs4Rb2GaSb2
_cell_length_a 15.337
_cell_length_b 13.888
_cell_length_c 5.645
_cell_angle_alpha 90.00
_cell_angle_beta 98.07
_cell_angle_gamma 90.00
_symmetry_space_group_name_H-M 'C 1 2/m 1'
_symmetry_Int_Tables_number 12
loop_
_symmetry_equiv_pos_as_xyz
'x,y,z'
'-x,-y,-z'
'-x,y,-z'
'x,-y,z'
'x+1/2,y+1/2,z'
'-x+1/2,-y+1/2,-z'
'-x+1/2,y+1/2,-z'
'x+1/2,-y+1/2,z'
loop_
_atom_site_label
_atom_site_type_symbol
_atom_site_fract_x
_atom_site_fract_y
_atom_site_fract_z
Cs1 Cs 0.128 0.195 0.201
Rb1 Rb 0.140 0.500 0.735
Ga1 Ga 0.000 0.000 0.500
Sb1 Sb 0.160 0.000 0.697
# Crystal system: monoclinic
# Raw formation energy: -1.70 eV per formula unit
# Final energy: -36.64 eV for the cell shown
# Total magnetic moment: 0.00 μB/f.u.
# Density of states at the Fermi level: 0.579 states/eV/atom

(4)
# CsRbGa2Sb2 PBE optimized geometry
data_CsRbGa2Sb2
_cell_length_a 4.5289
_cell_length_b 4.5289
_cell_length_c 12.5014
_cell_angle_alpha 90.00
_cell_angle_beta 90.00
_cell_angle_gamma 120.00
_symmetry_space_group_name_H-M 'P -3 m 1'
_symmetry_Int_Tables_number 164
_symmetry_space_group_name_Hall '-P 3 2"'
loop_
_atom_site_label
_atom_site_type_symbol
_atom_site_fract_x
_atom_site_fract_y
_atom_site_fract_z
Cs1 Cs 0.0000 0.0000 0.0000
Rb1 Rb 0.0000 0.0000 0.5000
Ga1 Ga 0.3333 0.6667 0.7875
Sb1 Sb 0.3333 0.6667 0.2822
# Crystal system: trigonal
# Raw formation energy: -1.51 eV per formula unit
# Final energy: -17.63 eV for the cell shown
# Total magnetic moment: 0.00 μB/f.u.
# Density of states at the Fermi level: 0.631 states/eV/atom

(5)
# Cs2RbGaSi PBE optimized geometry
data_Cs2RbGaSi
_cell_length_a 7.312
_cell_length_b 7.312
_cell_length_c 5.800
_cell_angle_alpha 90.00
_cell_angle_beta 90.00
_cell_angle_gamma 90.00
_symmetry_space_group_name_H-M 'P 4/m m m'
_symmetry_Int_Tables_number 123
_symmetry_space_group_name_Hall '-P 4 2'
loop_
_atom_site_label
_atom_site_type_symbol
_atom_site_fract_x
_atom_site_fract_y
_atom_site_fract_z
Cs1 Cs 0.000 0.500 0.000
Rb1 Rb 0.000 0.000 0.000
Ga1 Ga 0.500 0.500 0.500
Si1 Si 0.000 0.000 0.500
# Crystal system: tetragonal
# Raw formation energy: 4.20 eV per formula unit
# Final energy: -6.92 eV for the cell shown
# Total magnetic moment: 0.00 μB/f.u.
# Density of states at the Fermi level: 0.661 states/eV/atom

(6)
# CsRbGaTe2 PBE optimized geometry
data_CsRbGaTe2
_cell_length_a 7.757
_cell_length_b 16.060
_cell_length_c 7.443
_cell_angle_alpha 90.00
_cell_angle_beta 90.00
_cell_angle_gamma 90.00
_symmetry_space_group_name_H-M 'C m m e'
_symmetry_Int_Tables_number 67
_symmetry_space_group_name_Hall '-C 2a 2'
loop_
_atom_site_label
_atom_site_type_symbol
_atom_site_fract_x
_atom_site_fract_y
_atom_site_fract_z
Cs1 Cs 0.000 0.250 0.247
Rb1 Rb 0.250 0.000 0.500
Ga1 Ga 0.000 0.000 0.000
Te1 Te 0.000 0.139 0.784
# Crystal system: orthorhombic
# Raw formation energy: -2.73 eV per formula unit
# Final energy: -55.46 eV for the cell shown
# Total magnetic moment: 0.00 μB/f.u.
# Density of states at the Fermi level: 0.190 states/eV/atom

(7)
# CsRbTl2Ga PBE optimized geometry
data_CsRbTl2Ga
_cell_length_a 5.906
_cell_length_b 5.906
_cell_length_c 6.582
_cell_angle_alpha 90.00
_cell_angle_beta 90.00
_cell_angle_gamma 90.00
_symmetry_space_group_name_H-M 'P 4/m m m'
_symmetry_Int_Tables_number 123
_symmetry_space_group_name_Hall '-P 4 2'
loop_
_atom_site_label
_atom_site_type_symbol
_atom_site_fract_x
_atom_site_fract_y
_atom_site_fract_z
Cs1 Cs 0.000 0.000 0.000
Rb1 Rb 0.500 0.500 0.000
Tl1 Tl 0.000 0.500 0.500
Ga1 Ga 0.500 0.500 0.500
# Crystal system: tetragonal
# Formation energy: 78 meV/atom
# Final energy: -9.19 eV for the cell shown
# Offset from the most stable computed form: 0 meV per atom
# Total magnetic moment: 0.00 μB/f.u.
# Density of states at the Fermi level: 0.670 states/eV/atom

(8)
# CsRbTl2Ga PBE optimized geometry
data_CsRbTl2Ga
_cell_length_a 5.905
_cell_length_b 5.905
_cell_length_c 6.747
_cell_angle_alpha 90.00
_cell_angle_beta 90.00
_cell_angle_gamma 90.00
_symmetry_space_group_name_H-M 'P 4/m m m'
_symmetry_Int_Tables_number 123
_symmetry_space_group_name_Hall '-P 4 2'
loop_
_atom_site_label
_atom_site_type_symbol
_atom_site_fract_x
_atom_site_fract_y
_atom_site_fract_z
Cs1 Cs 0.000 0.000 0.000
Rb1 Rb 0.500 0.500 0.000
Tl1 Tl 0.000 0.500 0.500
Ga1 Ga 0.000 0.000 0.500
# Crystal system: tetragonal
# Formation energy: 127 meV/atom
# Final energy: -8.94 eV for the cell shown
# Offset from the most stable computed form: 50 meV per atom
# Total magnetic moment: 0.00 μB/f.u.
# Density of states at the Fermi level: 0.814 states/eV/atom

(9)
# CsRbTl2Ga PBE optimized geometry
data_CsRbTl2Ga
_cell_length_a 6.489
_cell_length_b 6.489
_cell_length_c 7.130
_cell_angle_alpha 90.00
_cell_angle_beta 90.00
_cell_angle_gamma 90.00
_symmetry_space_group_name_H-M 'P 4/m m m'
_symmetry_Int_Tables_number 123
_symmetry_space_group_name_Hall '-P 4 2'
loop_
_atom_site_label
_atom_site_type_symbol
_atom_site_fract_x
_atom_site_fract_y
_atom_site_fract_z
Cs1 Cs 0.000 0.000 0.000
Rb1 Rb 0.000 0.000 0.500
Tl1 Tl 0.000 0.500 0.500
Ga1 Ga 0.500 0.500 0.000
# Crystal system: tetragonal
# Formation energy: 712 meV/atom
# Final energy: -6.02 eV for the cell shown
# Offset from the most stable computed form: 634 meV per atom
# Total magnetic moment: 0.00 μB/f.u.
# Density of states at the Fermi level: 1.450 states/eV/atom

(10)
# CsRb2ZnGa PBE optimized geometry
data_CsRb2ZnGa
_cell_length_a 7.180
_cell_length_b 7.180
_cell_length_c 4.866
_cell_angle_alpha 90.00
_cell_angle_beta 90.00
_cell_angle_gamma 90.00
_symmetry_space_group_name_H-M 'P 4/m m m'
_symmetry_Int_Tables_number 123
_symmetry_space_group_name_Hall '-P 4 2'
loop_
_atom_site_label
_atom_site_type_symbol
_atom_site_fract_x
_atom_site_fract_y
_atom_site_fract_z
Cs1 Cs 0.000 0.000 0.000
Rb1 Rb 0.000 0.500 0.500
Zn1 Zn 0.500 0.500 0.500
Ga1 Ga 0.500 0.500 0.000
# Crystal system: tetragonal
# Formation energy: 142 meV/atom
# Final energy: -6.38 eV for the cell shown
# Total magnetic moment: 0.26 μB/f.u.
# Density of states at the Fermi level: 0.654 states/eV/atom

(11)
# CsGaRe2 PBE optimized geometry
data_CsGaRe2
_cell_length_a 8.043
_cell_length_b 8.043
_cell_length_c 5.382
_cell_angle_alpha 90.00
_cell_angle_beta 90.00
_cell_angle_gamma 90.00
_symmetry_space_group_name_H-M 'I -4 2 d'
_symmetry_Int_Tables_number 122
_symmetry_space_group_name_Hall 'I -4 2bw'
loop_
_atom_site_label
_atom_site_type_symbol
_atom_site_fract_x
_atom_site_fract_y
_atom_site_fract_z
Cs1 Cs 0.000 0.000 0.000
Ga1 Ga 0.000 0.000 0.500
Re1 Re 0.186 0.250 0.625
# Crystal system: tetragonal
# Formation energy: 2056 meV/atom
# Final energy: -82.21 eV for the cell shown
# Offset from the most stable computed form: 11 meV per atom
# Total magnetic moment: 0.00 μB/f.u.
# Density of states at the Fermi level: 0.855 states/eV/atom

(12)
# CsGa2Re PBE optimized geometry
data_CsGa2Re
_cell_length_a 7.562
_cell_length_b 7.562
_cell_length_c 11.601
_cell_angle_alpha 90.00
_cell_angle_beta 90.00
_cell_angle_gamma 90.00
_symmetry_space_group_name_H-M 'I 41/a m d'
_symmetry_Int_Tables_number 141
loop_
_symmetry_equiv_pos_as_xyz
'x,y,z'
'-x,-y,-z'
'-y+1/4,x+3/4,z+1/4'
'y+1/4,-x+3/4,-z+1/4'
'-x+1/2,-y,z+1/2'
'x+1/2,y,-z+1/2'
'y+1/4,-x+1/4,z+3/4'
'-y+1/4,x+1/4,-z+3/4'
'x,-y,-z'
'-x,y,z'
'-y+1/4,-x+1/4,-z+3/4'
'y+1/4,x+1/4,z+3/4'
'-x+1/2,y,-z+1/2'
'x+1/2,-y,z+1/2'
'y+1/4,x+3/4,-z+1/4'
'-y+1/4,-x+3/4,z+1/4'
'x+1/2,y+1/2,z+1/2'
'-x+1/2,-y+1/2,-z+1/2'
'-y+3/4,x+1/4,z+3/4'
'y+3/4,-x+1/4,-z+3/4'
'-x,-y+1/2,z'
'x,y+1/2,-z'
'y+3/4,-x+3/4,z+1/4'
'-y+3/4,x+3/4,-z+1/4'
'x+1/2,-y+1/2,-z+1/2'
'-x+1/2,y+1/2,z+1/2'
'-y+3/4,-x+3/4,-z+1/4'
'y+3/4,x+3/4,z+1/4'
'-x,y+1/2,-z'
'x,-y+1/2,z'
'y+3/4,x+1/4,-z+3/4'
'-y+3/4,-x+1/4,z+3/4'
loop_
_atom_site_label
_atom_site_type_symbol
_atom_site_fract_x
_atom_site_fract_y
_atom_site_fract_z
Cs1 Cs 0.000 0.250 0.375
Ga1 Ga 0.000 0.000 0.000
Re1 Re 0.000 0.250 0.875
# Crystal system: tetragonal
# Formation energy: 563 meV/atom
# Final energy: -68.41 eV for the cell shown
# Offset from the most stable computed form: 0 meV per atom
# Total magnetic moment: 0.00 μB/f.u.
# Density of states at the Fermi level: 0.675 states/eV/atom

(13)
# CsGaRe2 PBE optimized geometry
data_CsGaRe2
_cell_length_a 6.607
_cell_length_b 6.607
_cell_length_c 6.607
_cell_angle_alpha 90.00
_cell_angle_beta 90.00
_cell_angle_gamma 90.00
_symmetry_space_group_name_H-M 'F m -3 m'
_symmetry_Int_Tables_number 225
_symmetry_space_group_name_Hall '-F 4 2 3'
loop_
_atom_site_label
_atom_site_type_symbol
_atom_site_fract_x
_atom_site_fract_y
_atom_site_fract_z
Cs1 Cs 0.000 0.000 0.000
Ga1 Ga 0.000 0.000 0.500
Re1 Re 0.250 0.250 0.250
# Crystal system: cubic
# Formation energy: 2045 meV/atom
# Final energy: -82.38 eV for the cell shown
# Offset from the most stable computed form: 0 meV per atom
# Total magnetic moment: 0.00 μB/f.u.
# Density of states at the Fermi level: 1.226 states/eV/atom

(14)
# CsGa2Re PBE optimized geometry
data_CsGa2Re
_cell_length_a 7.250
_cell_length_b 7.250
_cell_length_c 7.250
_cell_angle_alpha 90.00
_cell_angle_beta 90.00
_cell_angle_gamma 90.00
_symmetry_space_group_name_H-M 'F m -3 m'
_symmetry_Int_Tables_number 225
_symmetry_space_group_name_Hall '-F 4 2 3'
loop_
_atom_site_label
_atom_site_type_symbol
_atom_site_fract_x
_atom_site_fract_y
_atom_site_fract_z
Cs1 Cs 0.000 0.000 0.000
Ga1 Ga 0.250 0.250 0.250
Re1 Re 0.000 0.000 0.500
# Crystal system: cubic
# Formation energy: 1326 meV/atom
# Final energy: -56.20 eV for the cell shown
# Offset from the most stable computed form: 763 meV per atom
# Total magnetic moment: 2.99 μB/f.u.
# Density of states at the Fermi level: 1.459 states/eV/atom

(15)
# Cs2GaRe PBE optimized geometry
data_Cs2GaRe
_cell_length_a 8.637
_cell_length_b 8.637
_cell_length_c 8.637
_cell_angle_alpha 90.00
_cell_angle_beta 90.00
_cell_angle_gamma 90.00
_symmetry_space_group_name_H-M 'F m -3 m'
_symmetry_Int_Tables_number 225
_symmetry_space_group_name_Hall '-F 4 2 3'
loop_
_atom_site_label
_atom_site_type_symbol
_atom_site_fract_x
_atom_site_fract_y
_atom_site_fract_z
Cs1 Cs 0.250 0.250 0.250
Ga1 Ga 0.000 0.000 0.000
Re1 Re 0.000 0.000 0.500
# Crystal system: cubic
# Formation energy: 1617 meV/atom
# Final energy: -42.86 eV for the cell shown
# Total magnetic moment: 2.45 μB/f.u.
# Density of states at the Fermi level: 0.743 states/eV/atom

(16)
# CsY2GaRe PBE optimized geometry
data_CsY2GaRe
_cell_length_a 5.548
_cell_length_b 5.548
_cell_length_c 5.918
_cell_angle_alpha 90.00
_cell_angle_beta 90.00
_cell_angle_gamma 90.00
_symmetry_space_group_name_H-M 'P 4/m m m'
_symmetry_Int_Tables_number 123
_symmetry_space_group_name_Hall '-P 4 2'
loop_
_atom_site_label
_atom_site_type_symbol
_atom_site_fract_x
_atom_site_fract_y
_atom_site_fract_z
Cs1 Cs 0.000 0.000 0.000
Y1 Y 0.000 0.500 0.500
Ga1 Ga 0.000 0.000 0.500
Re1 Re 0.500 0.500 0.000
# Crystal system: tetragonal
# Formation energy: 1488 meV/atom
# Final energy: -21.81 eV for the cell shown
# Total magnetic moment: 2.21 μB/f.u.
# Density of states at the Fermi level: 1.971 states/eV/atom

(17)
# CsGa2Rh PBE optimized geometry
data_CsGa2Rh
_cell_length_a 7.249
_cell_length_b 7.249
_cell_length_c 7.249
_cell_angle_alpha 90.00
_cell_angle_beta 90.00
_cell_angle_gamma 90.00
_symmetry_space_group_name_H-M 'F m -3 m'
_symmetry_Int_Tables_number 225
_symmetry_space_group_name_Hall '-F 4 2 3'
loop_
_atom_site_label
_atom_site_type_symbol
_atom_site_fract_x
_atom_site_fract_y
_atom_site_fract_z
Cs1 Cs 0.000 0.000 0.000
Ga1 Ga 0.250 0.250 0.250
Rh1 Rh 0.000 0.000 0.500
# Crystal system: cubic
# Formation energy: 567 meV/atom
# Final energy: -47.96 eV for the cell shown
# Total magnetic moment: 0.00 μB/f.u.
# Density of states at the Fermi level: 0.764 states/eV/atom

(18)
# Cs2GaRh PBE optimized geometry
data_Cs2GaRh
_cell_length_a 8.206
_cell_length_b 8.206
_cell_length_c 8.206
_cell_angle_alpha 90.00
_cell_angle_beta 90.00
_cell_angle_gamma 90.00
_symmetry_space_group_name_H-M 'F m -3 m'
_symmetry_Int_Tables_number 225
_symmetry_space_group_name_Hall '-F 4 2 3'
loop_
_atom_site_label
_atom_site_type_symbol
_atom_site_fract_x
_atom_site_fract_y
_atom_site_fract_z
Cs1 Cs 0.250 0.250 0.250
Ga1 Ga 0.000 0.000 0.000
Rh1 Rh 0.000 0.000 0.500
# Crystal system: cubic
# Formation energy: 787 meV/atom
# Final energy: -35.74 eV for the cell shown
# Offset from the most stable computed form: 673 meV per atom
# Total magnetic moment: 0.00 μB/f.u.
# Density of states at the Fermi level: 0.446 states/eV/atom

(19)
# Cs2GaRh PBE optimized geometry
data_Cs2GaRh
_cell_length_a 12.792
_cell_length_b 12.792
_cell_length_c 4.810
_cell_angle_alpha 90.00
_cell_angle_beta 90.00
_cell_angle_gamma 90.00
_symmetry_space_group_name_H-M 'I -4 2 d'
_symmetry_Int_Tables_number 122
_symmetry_space_group_name_Hall 'I -4 2bw'
loop_
_atom_site_label
_atom_site_type_symbol
_atom_site_fract_x
_atom_site_fract_y
_atom_site_fract_z
Cs1 Cs 0.072 0.250 0.125
Ga1 Ga 0.000 0.000 0.500
Rh1 Rh 0.000 0.000 0.000
# Crystal system: tetragonal
# Formation energy: 115 meV/atom
# Final energy: -46.51 eV for the cell shown
# Offset from the most stable computed form: 0 meV per atom
# Total magnetic moment: 0.00 μB/f.u.
# Density of states at the Fermi level: 0.025 states/eV/atom

(20)
# CsGa2Rh2 PBE optimized geometry
data_CsGa2Rh2
_cell_length_a 4.526
_cell_length_b 4.526
_cell_length_c 13.255
_cell_angle_alpha 90.00
_cell_angle_beta 90.00
_cell_angle_gamma 90.00
_symmetry_space_group_name_H-M 'I 4/m m m'
_symmetry_Int_Tables_number 139
_symmetry_space_group_name_Hall '-I 4 2'
loop_
_atom_site_label
_atom_site_type_symbol
_atom_site_fract_x
_atom_site_fract_y
_atom_site_fract_z
Cs1 Cs 0.000 0.000 0.000
Ga1 Ga 0.000 0.000 0.317
Rh1 Rh 0.000 0.500 0.250
# Crystal system: tetragonal
# Formation energy: -267 meV/atom
# Final energy: -45.89 eV for the cell shown
# Total magnetic moment: 0.00 μB/f.u.
# Density of states at the Fermi level: 0.403 states/eV/atom